Material: KTmMg2Br8
Method: DFT, PBE
State: optimized geometry

a = 6.840 Å, b = 6.827 Å, c = 9.293 Å
α = 79.29°, β = 79.91°, γ = 79.27°
Fractional positions:
1 K 0.000 0.000 0.500
2 Tm 0.000 0.000 0.000
3 Mg 0.453 0.448 0.714
4 Mg 0.547 0.552 0.286
5 Br 0.188 0.743 0.224
6 Br 0.720 0.746 0.038
7 Br 0.765 0.207 0.218
8 Br 0.812 0.257 0.776
9 Br 0.280 0.254 0.962
10 Br 0.235 0.793 0.782
11 Br 0.659 0.684 0.492
12 Br 0.341 0.316 0.508

Results
E_form (uncorrected) = -1.59 eV per atom
crystal system = triclinic

---

Material: RuRh
Method: DFT, PBE
State: optimized geometry

a = 2.699 Å, b = 6.538 Å, c = 7.029 Å
α = 95.00°, β = 78.93°, γ = 78.09°
Fractional positions:
1 Ru 0.353 0.810 0.485
2 Ru 0.647 0.190 0.515
3 Ru 0.102 0.479 0.317
4 Ru 0.898 0.521 0.683
5 Rh 0.369 0.331 0.931
6 Rh 0.631 0.669 0.069
7 Rh 0.628 0.935 0.808
8 Rh 0.372 0.065 0.192

Results
crystal system = monoclinic
formation enthalpy at 0 K = 0.255 eV/atom